Record 1
This record from Alexandria via LeMat-Bulk describes an optimized crystal structure of NaIn10Rh3. The functional is PBE.

Output
DFT total energy = -53.1 eV per formula unit
SG = Fm-3m
Crystal system = cubic

```
NaIn10Rh3
1.0
8.528 0.000 4.924
2.843 8.040 4.924
0.000 0.000 9.847
In Rh Na
20 6 2
Direct
0.340 0.000 0.000
0.161 0.613 0.613
0.000 0.660 0.340
0.613 0.161 0.613
0.387 0.839 0.387
0.387 0.387 0.387
0.839 0.387 0.387
0.613 0.613 0.613
0.340 0.000 0.660
0.660 0.000 0.000
0.000 0.660 0.000
0.000 0.000 0.340
0.660 0.000 0.340
0.000 0.340 0.000
0.613 0.613 0.161
0.340 0.660 0.000
0.000 0.340 0.660
0.000 0.000 0.660
0.660 0.340 0.000
0.387 0.387 0.839
0.735 0.265 0.265
0.735 0.735 0.265
0.735 0.265 0.735
0.265 0.735 0.735
0.265 0.265 0.735
0.265 0.735 0.265
0.750 0.750 0.750
0.250 0.250 0.250
```

Record 2
This record from Alexandria via LeMat-Bulk describes an optimized crystal structure of NaIn4Rh2. The functional is PBE.

Output
DFT total energy = -28.6 eV per formula unit
SG = Cmcm
Crystal system = orthorhombic

```
NaIn4Rh2
1.0
4.743 -0.001 0.000
-2.371 4.108 0.000
0.000 0.000 14.323
Rh In Na
4 8 2
Direct
0.166 0.834 0.065
0.166 0.834 0.435
0.834 0.166 0.565
0.834 0.166 0.935
0.167 0.833 0.626
0.167 0.833 0.874
0.500 0.500 0.500
0.500 0.500 0.000
0.833 0.167 0.126
0.166 0.834 0.250
0.834 0.166 0.750
0.833 0.167 0.374
0.501 0.499 0.750
0.499 0.501 0.250
```

Record 3
This record from Alexandria via LeMat-Bulk describes an optimized crystal structure of NaIn3Rh. The functional is PBE.

Output
DFT total energy = -17.7 eV per formula unit
SG = Pmmn
Energy above the lowest structure with this stoichiometry = 0.0700 eV per atom
Crystal system = orthorhombic

```
NaIn3Rh
1.0
-1.449 -3.113 2.186
3.422 -5.200 -5.138
6.351 0.008 4.221
In Rh Na
6 2 2
Direct
0.250 0.450 0.155
0.750 0.750 0.239
0.250 0.250 0.761
0.250 0.050 0.155
0.750 0.550 0.845
0.750 0.950 0.845
0.750 0.250 0.031
0.250 0.750 0.969
0.750 0.250 0.439
0.250 0.750 0.561
```

Record 4
This record from Alexandria via LeMat-Bulk describes an optimized crystal structure of Na2In2Rh. The functional is PBE.

Output
DFT total energy = -15.6 eV per formula unit
SG = P4/mbm
Crystal system = tetragonal

```
Na2In2Rh
1.0
6.977 0.000 0.000
0.000 6.977 0.000
0.000 0.000 5.304
In Na Rh
4 4 2
Direct
0.844 0.656 0.000
0.156 0.344 0.000
0.344 0.844 0.000
0.656 0.156 0.000
0.323 0.177 0.500
0.677 0.823 0.500
0.823 0.323 0.500
0.177 0.677 0.500
0.000 0.000 0.000
0.500 0.500 0.000
```

Record 5
This record from Alexandria via LeMat-Bulk describes an optimized crystal structure of NaIn3Rh. The functional is PBE.

Output
DFT total energy = -17.8 eV per formula unit
SG = Pm-3m
Energy above the lowest structure with this stoichiometry = 0.0352 eV per atom
Crystal system = cubic

```
NaIn3Rh
1.0
-2.223 4.606 0.773
-1.305 0.209 -5.001
-4.484 -2.344 1.072
In Na Rh
3 1 1
Direct
0.000 0.500 0.000
0.000 0.000 0.500
0.500 0.000 0.000
0.500 0.500 0.500
0.000 0.000 0.000
```

Record 6
This record from Alexandria via LeMat-Bulk describes an optimized crystal structure of NaIn3Rh2. The functional is PBE.

Output
DFT total energy = -26.1 eV per formula unit
SG = Cmcm
Energy above the lowest structure with this stoichiometry = 0.0000 eV per atom
Crystal system = orthorhombic

```
NaIn3Rh2
1.0
-2.010 5.422 1.575
-6.267 -2.282 -0.139
1.256 -1.394 6.402
In Na Rh
6 2 4
Direct
0.250 0.540 0.939
0.750 0.460 0.061
0.250 0.939 0.540
0.750 0.958 0.958
0.750 0.061 0.460
0.250 0.042 0.042
0.750 0.575 0.575
0.250 0.425 0.425
0.500 0.220 0.780
0.000 0.220 0.780
0.500 0.780 0.220
0.000 0.780 0.220
```

Record 7
This record from Alexandria via LeMat-Bulk describes an optimized crystal structure of NaIn2Rh2. The functional is PBE.

Output
DFT total energy = -21.9 eV per formula unit
SG = I4/mmm
Energy above the lowest structure with this stoichiometry = 0.2441 eV per atom
Crystal system = tetragonal

```
NaIn2Rh2
1.0
4.303 0.000 0.000
0.000 4.303 0.000
2.151 2.151 5.920
Rh In Na
2 2 1
Direct
0.250 0.750 0.500
0.750 0.250 0.500
0.379 0.379 0.242
0.621 0.621 0.758
0.000 0.000 0.000
```

Record 8
This record from Alexandria via LeMat-Bulk describes an optimized crystal structure of NaIn3Rh. The functional is PBE.

Output
DFT total energy = -18.0 eV per formula unit
SG = Pnma
Energy above the lowest structure with this stoichiometry = 0.0000 eV per atom
Crystal system = orthorhombic

```
NaIn3Rh
1.0
-3.162 -2.260 -2.021
4.319 1.172 -8.068
6.037 -10.031 1.774
In Na Rh
12 4 4
Direct
0.250 0.902 0.796
0.750 0.598 0.296
0.250 0.836 0.217
0.750 0.098 0.204
0.250 0.057 0.419
0.250 0.557 0.081
0.250 0.336 0.283
0.250 0.402 0.704
0.750 0.664 0.717
0.750 0.943 0.581
0.750 0.164 0.783
0.750 0.443 0.919
0.250 0.189 0.003
0.250 0.689 0.497
0.750 0.811 0.997
0.750 0.311 0.503
0.750 0.381 0.146
0.250 0.619 0.854
0.250 0.119 0.646
0.750 0.881 0.354
```

For the records above, the corresponding M_tot values read 0.00; 0.00; 0.00; 0.00; 0.00; 0.00; 0.00; 0.00 μB per cell.
For the records above, the corresponding density values read 7.3; 8.2; 6.2; 4.9; 5.6; 7.2; 6.9; 6.5 g cm⁻³.
For the records above, the corresponding DFT formation energy values read -0.17; -0.24; -0.16; -0.03; -0.19; -0.31; -0.07; -0.23 eV per atom.